[1]
Material: Tb2Nd3SmY6
Method: DFT, PBE
State: relaxed

Calculated values
Calculated total energy ... -133.80 eV/cell

Unit cell a=6.2488 b=10.8180 c=11.8756 alpha=90.00 beta=100.06 gamma=90.00
Space group C2/m (No. 12)
Symmetry-distinct sites (fractional):
Tb: 0.0000 0.1667 0.0000 (multiplicity 4)
Nd: 0.0000 0.0000 0.5000 (multiplicity 2)
Nd: 0.0000 0.3332 0.5000 (multiplicity 4)
Sm: 0.0000 0.5000 0.0000 (multiplicity 2)
Y: 0.2490 0.0000 0.2478 (multiplicity 4)
Y: 0.2494 0.3332 0.2477 (multiplicity 8)

---

[2]
Material: AsPH2Br
Method: DFT, PBE
State: relaxed

Calculated values
Calculated total energy ... -15.64 eV/cell

Unit cell a=3.5234 b=3.5234 c=8.1318 alpha=90.00 beta=90.00 gamma=90.00
Space group P4/mmm (No. 123)
Symmetry-distinct sites (fractional):
As: 0.0000 0.0000 0.0000 (multiplicity 1)
P: 0.5000 0.5000 0.0000 (multiplicity 1)
H: 0.0000 0.5000 0.5000 (multiplicity 2)
Br: 0.5000 0.5000 0.5000 (multiplicity 1)

---

[3]
Material: Be3HgOs
Method: DFT, PBE
State: relaxed

Calculated values
Relative energy among the computed polymorphs ... 0.860 eV/atom

Unit cell a=4.2506 b=4.2506 c=4.2506 alpha=90.00 beta=90.00 gamma=90.00
Space group Pm-3m (No. 221)
Symmetry-distinct sites (fractional):
Be: 0.0000 0.0000 0.5000 (multiplicity 3)
Hg: 0.0000 0.0000 0.0000 (multiplicity 1)
Os: 0.5000 0.5000 0.5000 (multiplicity 1)

---

[4]
Material: UGa4Co2
Method: DFT, PBE
State: relaxed

Calculated values
Calculated total energy ... -157.43 eV/cell

Unit cell a=16.4793 b=4.0647 c=6.5179 alpha=90.00 beta=90.00 gamma=90.00
Space group Pnma (No. 62)
Symmetry-distinct sites (fractional):
U: 0.1373 0.2500 0.0444 (multiplicity 4)
Ga: 0.0354 0.7500 0.8331 (multiplicity 4)
Ga: 0.0729 0.2500 0.5123 (multiplicity 4)
Ga: 0.1854 0.7500 0.3553 (multiplicity 4)
Ga: 0.1937 0.7500 0.7474 (multiplicity 4)
Co: 0.0444 0.7500 0.2321 (multiplicity 4)
Co: 0.2248 0.2500 0.5544 (multiplicity 4)

---

[5]
Material: LiAlNiRh
Method: DFT, PBE
State: relaxed

Calculated values
Calculated total energy ... -84.44 eV/cell

Unit cell a=5.8085 b=5.8085 c=5.8085 alpha=90.00 beta=90.00 gamma=90.00
Space group F-43m (No. 216)
Symmetry-distinct sites (fractional):
Li: 0.0000 0.0000 0.0000 (multiplicity 4)
Al: 0.0000 0.0000 0.5000 (multiplicity 4)
Ni: 0.2500 0.2500 0.2500 (multiplicity 4)
Rh: 0.2500 0.2500 0.7500 (multiplicity 4)

---

[6]
Material: PrScCu2
Method: DFT, PBE
State: relaxed

Calculated values
Relative energy among the computed polymorphs ... 0.018 eV/atom

Unit cell a=4.6061 b=4.6061 c=14.0407 alpha=90.00 beta=90.00 gamma=120.00
Space group R-3m (No. 166, hexagonal axes)
Symmetry-distinct sites (fractional):
Pr: 0.0000 0.0000 0.0000 (multiplicity 3)
Sc: 0.0000 0.0000 0.5000 (multiplicity 3)
Cu: 0.0000 0.0000 0.2080 (multiplicity 6)

---

[7]
Material: RePtN2
Method: DFT, PBE
State: relaxed

Calculated values
Relative energy among the computed polymorphs ... 0.374 eV/atom
Uncorrected formation energy ... 516 meV per atom

Unit cell a=4.7561 b=4.7561 c=9.2910 alpha=90.00 beta=90.00 gamma=90.00
Space group I-42d (No. 122)
Symmetry-distinct sites (fractional):
Re: 0.0000 0.0000 0.0000 (multiplicity 4)
Pt: 0.0000 0.0000 0.5000 (multiplicity 4)
N: 0.2038 0.2500 0.1250 (multiplicity 8)

---

[8]
Material: RbSe2F
Method: DFT, PBE
State: relaxed

Calculated values
Relative energy among the computed polymorphs ... 0.000 eV/atom
Uncorrected formation energy ... -1028 meV per atom

Unit cell a=4.3290 b=4.3290 c=24.7591 alpha=90.00 beta=90.00 gamma=90.00
Space group I-42d (No. 122)
Symmetry-distinct sites (fractional):
Rb: 0.0000 0.0000 0.0000 (multiplicity 4)
Se: 0.1214 0.7500 0.6250 (multiplicity 8)
F: 0.0000 0.0000 0.5000 (multiplicity 4)

---

[9]
Material: MgCl2
Method: DFT, PBE
State: relaxed

Calculated values
Uncorrected formation energy ... -1789 meV per atom

Unit cell a=3.6572 b=17.6220 c=5.1294 alpha=90.00 beta=90.00 gamma=90.00
Space group Cmcm (No. 63)
Symmetry-distinct sites (fractional):
Mg: 0.0000 0.1780 0.2500 (multiplicity 4)
Cl: 0.0000 0.2121 0.7500 (multiplicity 4)
Cl: 0.0000 0.4076 0.7500 (multiplicity 4)

---

[10]
Material: Tb4Cd5Hg2
Method: DFT, PBE
State: relaxed

Calculated values
Calculated total energy ... -27.00 eV/cell

Unit cell a=7.9008 b=3.4675 c=10.3009 alpha=90.00 beta=95.32 gamma=90.00
Space group P2/m (No. 10)
Symmetry-distinct sites (fractional):
Tb: 0.1671 0.0000 0.3853 (multiplicity 2)
Tb: 0.2693 0.0000 0.9428 (multiplicity 2)
Cd: 0.1942 0.5000 0.6590 (multiplicity 2)
Cd: 0.4466 0.5000 0.2039 (multiplicity 2)
Cd: 0.5000 0.5000 0.5000 (multiplicity 1)
Hg: 0.0651 0.5000 0.1404 (multiplicity 2)

---

[11]
Material: Nd6Sb5H
Method: DFT, PBE
State: relaxed

Calculated values
Calculated total energy ... -128.61 eV/cell

Unit cell a=7.7257 b=13.3491 c=7.7441 alpha=90.00 beta=109.49 gamma=90.00
Space group C2/m (No. 12)
Symmetry-distinct sites (fractional):
Nd: 0.2491 0.0000 0.2557 (multiplicity 4)
Nd: 0.2502 0.1673 0.7516 (multiplicity 8)
Sb: 0.0000 0.0000 0.5000 (multiplicity 2)
Sb: 0.0000 0.1659 0.0000 (multiplicity 4)
Sb: 0.0000 0.3311 0.5000 (multiplicity 4)
H: 0.0000 0.5000 0.0000 (multiplicity 2)

---

[12]
Material: Tb8ErSn6
Method: DFT, PBE
State: relaxed

Calculated values
Calculated total energy ... -221.35 eV/cell

Unit cell a=9.0537 b=9.0537 c=19.5045 alpha=90.00 beta=90.00 gamma=120.00
Space group R-3 (No. 148, hexagonal axes)
Symmetry-distinct sites (fractional):
Tb: 0.0000 0.0000 0.1666 (multiplicity 6)
Tb: 0.0002 0.3342 0.3943 (multiplicity 18)
Er: 0.0000 0.0000 0.5000 (multiplicity 3)
Sn: 0.0001 0.3318 0.5671 (multiplicity 18)

---

[13]
Material: MgTl2Ru
Method: DFT, PBE
State: relaxed

Calculated values
Relative energy among the computed polymorphs ... 0.130 eV/atom

Unit cell a=10.2799 b=10.2799 c=5.1033 alpha=90.00 beta=90.00 gamma=90.00
Space group I4_1/amd (No. 141, origin choice 2)
Symmetry-distinct sites (fractional):
Mg: 0.0000 0.2500 0.3750 (multiplicity 4)
Tl: 0.0000 0.0000 0.0000 (multiplicity 8)
Ru: 0.0000 0.2500 0.8750 (multiplicity 4)

---

[14]
Material: ErSiAu2
Method: DFT, PBE
State: relaxed

Calculated values
Uncorrected formation energy ... -492 meV per atom

Unit cell a=6.4478 b=6.7871 c=4.5429 alpha=90.00 beta=126.65 gamma=90.00
Space group Cm (No. 8)
Symmetry-distinct sites (fractional):
Er: 0.0000 0.0000 0.0000 (multiplicity 2)
Si: 0.0921 0.5000 0.1074 (multiplicity 2)
Au: 0.4803 0.2214 0.4961 (multiplicity 4)

---

[15]
Material: TlHg2SeI
Method: DFT, PBE
State: relaxed

Calculated values
Uncorrected formation energy ... -233 meV per atom

Unit cell a=5.4112 b=5.4112 c=6.6680 alpha=90.00 beta=90.00 gamma=90.00
Space group P4/mmm (No. 123)
Symmetry-distinct sites (fractional):
Tl: 0.0000 0.0000 0.0000 (multiplicity 1)
Hg: 0.0000 0.5000 0.5000 (multiplicity 2)
Se: 0.0000 0.0000 0.5000 (multiplicity 1)
I: 0.5000 0.5000 0.0000 (multiplicity 1)

---

[16]
Material: Nd8ZnSi3Br4
Method: DFT, PBE
State: relaxed

Calculated values
Uncorrected formation energy ... -972 meV per atom

Unit cell a=8.5373 b=8.5373 c=21.8430 alpha=90.00 beta=90.00 gamma=120.00
Space group R-3m (No. 166, hexagonal axes)
Symmetry-distinct sites (fractional):
Nd: 0.0000 0.0000 0.2376 (multiplicity 6)
Nd: 0.0043 0.5022 0.7605 (multiplicity 18)
Zn: 0.0000 0.0000 0.5000 (multiplicity 3)
Si: 0.0000 0.5000 0.5000 (multiplicity 9)
Br: 0.0000 0.0000 0.0000 (multiplicity 3)
Br: 0.0000 0.5000 0.0000 (multiplicity 9)

---

[17]
Material: ScAlP
Method: DFT, PBE
State: relaxed

Calculated values
Calculated total energy ... -70.76 eV/cell

Unit cell a=3.9541 b=8.9287 c=6.2278 alpha=90.00 beta=90.00 gamma=90.00
Space group Ima2 (No. 46)
Symmetry-distinct sites (fractional):
Sc: 0.2500 0.1626 0.0000 (multiplicity 4)
Al: 0.2500 0.5911 0.8275 (multiplicity 4)
P: 0.2500 0.6600 0.2001 (multiplicity 4)

---

[18]
Material: Sn2BiPd5
Method: DFT, PBE
State: relaxed

Calculated values
Calculated total energy ... -157.87 eV/cell

Unit cell a=3.1075 b=15.5664 c=14.1483 alpha=90.00 beta=90.00 gamma=90.00
Space group Cmcm (No. 63)
Symmetry-distinct sites (fractional):
Sn: 0.0000 0.1274 0.0850 (multiplicity 8)
Bi: 0.0000 0.1254 0.7500 (multiplicity 4)
Pd: 0.0000 0.0432 0.5838 (multiplicity 8)
Pd: 0.0000 0.2188 0.2500 (multiplicity 4)
Pd: 0.0000 0.2289 0.5833 (multiplicity 8)

---

[19]
Material: NdDyCo
Method: DFT, PBE
State: relaxed

Calculated values
Relative energy among the computed polymorphs ... 0.079 eV/atom

Unit cell a=3.9475 b=3.9475 c=6.2332 alpha=90.00 beta=90.00 gamma=120.00
Space group P3m1 (No. 156)
Symmetry-distinct sites (fractional):
Nd: 0.0000 0.0000 0.0000 (multiplicity 1)
Dy: 0.6667 0.3333 0.4634 (multiplicity 1)
Co: 0.3333 0.6667 0.2392 (multiplicity 1)

---

[20]
Material: BaCr2SiOs
Method: DFT, PBE
State: relaxed

Calculated values
Uncorrected formation energy ... 3119 meV per atom

Unit cell a=4.9359 b=4.9359 c=5.1525 alpha=90.00 beta=90.00 gamma=90.00
Space group P4/mmm (No. 123)
Symmetry-distinct sites (fractional):
Ba: 0.0000 0.0000 0.0000 (multiplicity 1)
Cr: 0.0000 0.5000 0.0000 (multiplicity 2)
Si: 0.0000 0.0000 0.5000 (multiplicity 1)
Os: 0.5000 0.5000 0.5000 (multiplicity 1)